A relaxed Rb3Pu3SnSe8 crystal, computed with GGA-PBE.

Computed properties:
The space group is No. 166. Its density of states at the Fermi level is 32.29 states/eV/f.u. The value obtained for the uncorrected formation energy is -1.239 eV/atom. The crystal system is trigonal.

Lattice parameters (Å, degrees): 9.3945 9.3945 9.3945 53.96 53.96 53.96
With the nearest neighbours (Å) after each atom.
Fractional coordinates of all 15 atoms:
Rb 0.0000 0.5000 0.5000  6 Se 3.47-3.52
Rb 0.5000 0.0000 0.5000  6 Se 3.47-3.52
Rb 0.5000 0.5000 0.0000  6 Se 3.47-3.52
Pu 0.0000 0.0000 0.5000  6 Se 2.86-2.91
Pu 0.0000 0.5000 0.0000  6 Se 2.86-2.91
Pu 0.5000 0.0000 0.0000  6 Se 2.86-2.91
Sn 0.5000 0.5000 0.5000  6 Se 2.95
Se 0.2208 0.7345 0.7345  2 Pu 2.86, 1 Sn 2.95
Se 0.2312 0.2312 0.2312  3 Pu 2.91
Se 0.2655 0.2655 0.7792  2 Pu 2.86, 1 Sn 2.95
Se 0.2655 0.7792 0.2655  2 Pu 2.86, 1 Sn 2.95
Se 0.7345 0.2208 0.7345  2 Pu 2.86, 1 Sn 2.95
Se 0.7345 0.7345 0.2208  2 Pu 2.86, 1 Sn 2.95
Se 0.7688 0.7688 0.7688  3 Pu 2.91
Se 0.7792 0.2655 0.2655  2 Pu 2.86, 1 Sn 2.95